Computed, not measured: CsPuNiF6 after structural relaxation at the PBE+U level of DFT.

Structure (POSCAR):
```
CsPuNiF6
1.0
2.959 -5.088 0.000
2.959 5.088 0.000
-0.031 0.000 6.339
Cs Pu Ni F
1 1 1 6
Cartesian
0.000 0.000 0.000 Cs
2.943 -1.696 3.169 Pu
2.943 1.705 3.169 Ni
1.950 3.080 2.020 F
1.255 1.864 4.323 F
2.233 0.162 2.023 F
3.936 3.080 4.319 F
4.631 1.864 2.016 F
3.652 0.162 4.316 F
```

- VASP energy: -6.1494 eV per atom
- Theoretical density: 4783 kg/m³